# GaFeF3 PBE with a Hubbard U relaxed
# Energy above the most stable polymorph in this dataset, meV/atom: 0
# Space group: Pm-3m, No. 221
data_GaFeF3
_chemical_formula_sum 'Ga1 Fe1 F3'
_symmetry_space_group_name_H-M 'P 1'
_symmetry_Int_Tables_number 1
_symmetry_space_group_name_Hall 'P 1'
_cell_length_a 4.099
_cell_length_b 4.099
_cell_length_c 4.099
_cell_angle_alpha 90.00
_cell_angle_beta 90.00
_cell_angle_gamma 90.00
loop_
_atom_site_label
_atom_site_type_symbol
_atom_site_fract_x
_atom_site_fract_y
_atom_site_fract_z
Fe1 Fe 0.000 0.000 0.000
Ga1 Ga 0.500 0.500 0.500
F1 F 0.000 0.500 0.000
F2 F 0.000 0.000 0.500
F3 F 0.500 0.000 0.000